--- a ---
Below is a relaxed structure of Ca2AlBiO5, with properties calculated at the PBE level.

Cell lengths 8.521, 8.521, 9.232 Å; angles 90.00, 90.00, 158.06 degrees
Fractional positions:
Ca: 0.090 0.910 0.500
Ca: 0.103 0.897 0.125
Ca: 0.897 0.103 0.625
Ca: 0.910 0.090 0.000
Al: 0.447 0.553 0.277
Al: 0.553 0.447 0.777
Bi: 0.227 0.773 0.831
Bi: 0.773 0.227 0.331
O: 0.041 0.959 0.862
O: 0.306 0.694 0.499
O: 0.351 0.649 0.188
O: 0.364 0.636 0.832
O: 0.497 0.503 0.614
O: 0.503 0.497 0.114
O: 0.636 0.364 0.332
O: 0.649 0.351 0.688
O: 0.694 0.306 0.999
O: 0.959 0.041 0.362

Summary:
Crystal system = orthorhombic
Space-group type = No. 36

--- b ---
Below is a relaxed structure of Ca2AlBiO5, with properties calculated at the PBE level.

Cell lengths 8.763, 8.763, 5.702 Å; angles 107.91, 107.91, 39.99 degrees
Fractional positions:
Ca: 0.225 0.775 0.500
Ca: 0.475 0.996 0.750
Ca: 0.775 0.225 0.000
Ca: 0.996 0.475 0.250
Al: 0.426 0.799 0.145
Al: 0.799 0.426 0.645
Bi: 0.096 0.607 0.897
Bi: 0.607 0.096 0.397
O: 0.058 0.354 0.787
O: 0.164 0.883 0.130
O: 0.250 0.494 0.299
O: 0.354 0.058 0.287
O: 0.494 0.250 0.799
O: 0.545 0.656 0.841
O: 0.656 0.545 0.341
O: 0.770 0.813 0.062
O: 0.813 0.770 0.562
O: 0.883 0.164 0.630

Summary:
Crystal system = monoclinic
Space-group type = No. 9

Decreasing stability: a, b